DFT (GGA-PBEsol) results for an optimized crystal structure of Sc2CuIr.

POSCAR file:
```
Sc2CuIr
1.0
-0.3177 0.0897 4.5109
-3.3319 -2.2450 2.0775
0.9332 -3.7138 2.4071
Cu Sc Ir
1 2 1
direct
0.5000 0.5000 0.5000
0.7500 0.7500 0.7500
0.2500 0.2500 0.2500
0.0000 0.0000 0.0000
```

Values from the calculation:
ΔE_f: -0.68 eV per atom
Space-group type: No. 225
Final energy: -30.1 eV per formula unit